[1]
The following is a DFT calculation (GGA-PBE) of crystalline Li2ScTa at its relaxed geometry.

Geometry as extended XYZ:
```
4
Lattice="2.980 0.000 0.000 0.000 2.980 0.000 0.000 0.000 8.874" Properties=species:S:1:pos:R:3 pbc="T T T"
Li 0.000 0.000 0.000
Li 1.490 1.490 2.066
Sc 0.000 0.000 4.600
Ta 1.490 1.490 6.668
```

Properties
SG   P4mm (99)
Excess energy over the best structure of this formula in the dataset   0 meV/atom

[2]
The following is a DFT calculation (GGA-PBE) of crystalline PmSnPbAu at its relaxed geometry.

Geometry as extended XYZ:
```
4
Lattice="0.000 3.777 3.777 3.777 0.000 3.777 3.777 3.777 0.000" Properties=species:S:1:pos:R:3 pbc="T T T"
Pm 0.000 0.000 0.000
Sn 1.889 1.889 1.889
Pb 3.777 3.777 3.777
Au 5.666 5.666 5.666
```

Properties
SG   F-43m (216)

[3]
The following is a DFT calculation (GGA-PBE) of crystalline LaFeBr at its relaxed geometry.

Geometry as extended XYZ:
```
3
Lattice="-1.815 1.815 5.502 1.815 -1.815 5.502 1.815 1.815 -5.502" Properties=species:S:1:pos:R:3 pbc="T T T"
La 0.000 0.000 0.000
Fe 0.000 0.000 7.104
Br 0.000 0.000 3.262
```

Properties
Formation energy without anion corrections   -114 meV per atom
SG   I4mm (107)

[4]
The following is a DFT calculation (GGA-PBE) of crystalline MgCdHg2 at its relaxed geometry.

Geometry as extended XYZ:
```
4
Lattice="3.186 -4.049 0.000 3.186 4.049 0.000 0.000 0.000 3.538" Properties=species:S:1:pos:R:3 pbc="T T T"
Mg 0.000 0.000 0.000
Cd 3.186 0.000 0.000
Hg 1.593 2.024 1.769
Hg 1.593 -2.024 1.769
```

Properties
SG   Cmmm (65)

[5]
The following is a DFT calculation (GGA-PBE) of crystalline LiAcCdPb at its relaxed geometry.

Geometry as extended XYZ:
```
4
Lattice="0.000 3.898 3.898 3.898 0.000 3.898 3.898 3.898 0.000" Properties=species:S:1:pos:R:3 pbc="T T T"
Li 0.000 0.000 0.000
Ac 3.898 3.898 3.898
Cd 5.847 5.847 5.847
Pb 1.949 1.949 1.949
```

Properties
SG   F-43m (216)

[6]
The following is a DFT calculation (GGA-PBE) of crystalline U6Al at its relaxed geometry.

Geometry as extended XYZ:
```
7
Lattice="-3.553 3.553 3.553 3.553 -3.553 3.553 3.553 3.553 -3.553" Properties=species:S:1:pos:R:3 pbc="T T T"
U 3.553 1.776 0.000
U 3.553 0.000 1.776
U 1.776 3.553 0.000
U 1.776 0.000 3.553
U 0.000 3.553 1.776
U 0.000 1.776 3.553
Al 0.000 0.000 0.000
```

Properties
SG   Im-3m (229)

[7]
The following is a DFT calculation (GGA-PBE) of crystalline SrNdHgPt at its relaxed geometry.

Geometry as extended XYZ:
```
4
Lattice="0.000 3.756 3.756 3.756 0.000 3.756 3.756 3.756 0.000" Properties=species:S:1:pos:R:3 pbc="T T T"
Sr 0.000 0.000 0.000
Nd 3.756 3.756 3.756
Hg 1.878 1.878 1.878
Pt 5.634 5.634 5.634
```

Properties
SG   F-43m (216)

[8]
The following is a DFT calculation (GGA-PBE) of crystalline RbAc2N at its relaxed geometry.

Geometry as extended XYZ:
```
4
Lattice="1.960 1.132 11.540 -1.960 1.132 11.540 0.000 -2.264 11.540" Properties=species:S:1:pos:R:3 pbc="T T T"
Rb 0.000 0.000 0.000
Ac 0.000 0.000 4.308
Ac 0.000 0.000 30.312
N 0.000 0.000 17.310
```

Properties
Formation energy without anion corrections   -351 meV per atom
SG   R-3m (166)

[9]
The following is a DFT calculation (GGA-PBE) of crystalline RbBa2Sr6 at its relaxed geometry.

Geometry as extended XYZ:
```
9
Lattice="4.310 0.000 0.000 -2.155 3.732 0.000 0.000 0.000 33.175" Properties=species:S:1:pos:R:3 pbc="T T T"
Rb 0.000 0.000 0.000
Ba 2.155 1.244 11.049
Ba 2.155 1.244 22.126
Sr 0.000 0.000 7.421
Sr 0.000 0.000 14.606
Sr 0.000 0.000 18.569
Sr 0.000 0.000 25.754
Sr 2.155 1.244 3.967
Sr 2.155 1.244 29.208
```

Properties
SG   P-6m2 (187)

[10]
The following is a DFT calculation (GGA-PBE) of crystalline SrCeIr at its relaxed geometry.

Geometry as extended XYZ:
```
3
Lattice="4.481 0.000 0.000 -2.241 3.881 0.000 0.000 0.000 5.524" Properties=species:S:1:pos:R:3 pbc="T T T"
Sr 0.000 0.000 0.000
Ce 2.241 1.294 2.731
Ir 0.000 2.587 2.377
```

Properties
SG   P3m1 (156)
Excess energy over the best structure of this formula in the dataset   239 meV/atom

[11]
The following is a DFT calculation (GGA-PBE) of crystalline La2MoBr at its relaxed geometry.

Geometry as extended XYZ:
```
4
Lattice="-2.419 2.927 3.819 2.419 -2.927 3.819 2.419 2.927 -3.819" Properties=species:S:1:pos:R:3 pbc="T T T"
La 0.000 0.000 1.754
La 0.000 0.000 5.885
Mo 2.419 0.000 0.000
Br 0.000 2.927 0.000
```

Properties
Formation energy without anion corrections   66 meV per atom
SG   Immm (71)
Excess energy over the best structure of this formula in the dataset   436 meV/atom

[12]
The following is a DFT calculation (GGA-PBE) of crystalline CaAc2Al4Pd3 at its relaxed geometry.

Geometry as extended XYZ:
```
10
Lattice="4.442 0.000 0.000 0.000 4.442 0.000 0.000 0.000 11.733" Properties=species:S:1:pos:R:3 pbc="T T T"
Ca 0.000 0.000 0.000
Ac 0.000 2.221 8.506
Ac 2.221 0.000 3.227
Al 0.000 0.000 5.866
Al 0.000 2.221 1.973
Al 2.221 0.000 9.759
Al 2.221 2.221 5.866
Pd 0.000 2.221 4.517
Pd 2.221 0.000 7.215
Pd 2.221 2.221 0.000
```

Properties
SG   P-4m2 (115)

| no. | electronic total energy (eV/atom) |
| --- | --- |
| 1 | -5.3238 |
| 2 | -4.2957 |
| 3 | -5.1349 |
| 4 | -0.8625 |
| 5 | -3.0079 |
| 6 | -9.0501 |
| 7 | -3.8495 |
| 8 | -4.7283 |
| 9 | -1.5932 |
| 10 | -5.7119 |
| 11 | -5.5241 |
| 12 | -4.6844 |